#i
Compound: PAuBr
Source: Alexandria via LeMat-Bulk
Functional: PBE
Structure: optimized geometry

Cell lengths 7.901, 7.901, 7.901 Å; angles 156.64, 156.64, 33.28 degrees
Atoms (fractional coordinates):
Au 0.048 0.048 0.000
Br 0.335 0.335 0.000
P 0.616 0.616 0.000

Computed properties:
**M_tot**: 0.0 μB per formula unit
**N(E_F)**: 1.46 states/eV/cell
**Density**: 6.60 g/cm3

#ii
Compound: PAuBr
Source: Alexandria via LeMat-Bulk
Functional: PBE
Structure: optimized geometry

Cell lengths 7.982, 7.422, 3.838 Å; angles 83.85, 67.59, 28.56 degrees
Atoms (fractional coordinates):
Au 0.008 0.008 0.992
Br 0.374 0.374 0.626
P 0.618 0.618 0.382

Computed properties:
**M_tot**: 0.0 μB per formula unit
**N(E_F)**: 1.42 states/eV/cell
**Density**: 5.94 g/cm3

Each structure's energy above the most stable one, in kJ/mol of atoms: #i 12.4; #ii 0.0.